The following is a DFT calculation (PBE+U) of an optimized crystal structure of BaMo2WO.

a b c (Å): 6.7864 7.2446 6.7864
angles (deg): 90.00 90.00 90.00
Sites, in units of the cell vectors:
1 O 0.5000 0.5000 0.5000
2 Mo 0.0000 0.0000 0.5000
3 Mo 0.5000 0.0000 0.0000
4 Ba 0.0000 0.0000 0.0000
5 W 0.0000 0.5000 0.0000

Properties
SG = P4/mmm
E = -2.759 eV per atom